Below is CdBTe2 at its PBEsol-relaxed geometry, with properties calculated at the SCAN level.

Cell and atoms, written as POSCAR:
```
CdBTe2
1.0
-1.622 0.114 4.286
-4.516 -0.231 0.748
-1.625 -7.131 2.026
B Te Cd
1 2 1
Direct
0.000 0.000 0.000
0.096 0.096 0.713
0.904 0.904 0.287
0.500 0.500 0.500
```

Results
The calculation puts the raw total energy at -27.606 eV/atom. The calculation puts the formation energy (no corrections) at 0.48 eV/atom. For the density of states at the Fermi level, the calculation gives 0.425 states/eV/atom.



Below is NbReMo2 at its PBEsol-relaxed geometry, with properties calculated at the SCAN level.

Cell and atoms, written as POSCAR:
```
NbReMo2
1.0
-3.175 -2.725 -1.516
0.582 -2.178 -3.837
0.651 -4.402 0.017
Re Mo Nb
1 2 1
Direct
0.500 0.500 0.500
0.250 0.250 0.250
0.750 0.750 0.750
0.000 0.000 0.000
```

Results
The value obtained for the formation energy from the elements is -0.124 eV/atom. The calculation puts the raw total energy at -43.624 eV/atom. For the density of states at the Fermi level, the calculation gives 0.493 states/eV/atom.



Below is LaNb3Pt at its PBEsol-relaxed geometry, with properties calculated at the SCAN level.

Cell and atoms, written as POSCAR:
```
LaNb3Pt
1.0
4.958 0.000 0.000
0.000 4.958 0.000
0.000 0.000 4.958
Nb Pt La
3 1 1
Direct
0.000 0.500 0.000
0.000 0.000 0.500
0.500 0.000 0.000
0.000 0.000 0.000
0.500 0.500 0.500
```

Results
The value obtained for the formation energy from the elements is 0.532 eV/atom. The calculation puts the raw total energy at -42.005 eV/atom. For the density of states at the Fermi level, the calculation gives 1.061 states/eV/atom.



Below is CaZn2W at its PBEsol-relaxed geometry, with properties calculated at the SCAN level.

Cell and atoms, written as POSCAR:
```
CaZn2W
1.0
-1.606 1.742 1.612
-3.860 -2.736 -0.887
1.001 -2.671 3.879
Zn Ca W
2 1 1
Direct
0.881 0.000 0.876
0.881 0.500 0.374
0.396 0.000 0.376
0.342 0.500 0.875
```

Results
The value obtained for the formation energy from the elements is 0.316 eV/atom. The calculation puts the raw total energy at -26.280 eV/atom. Its relative energy among the computed polymorphs is 0.0000 eV per atom. For the density of states at the Fermi level, the calculation gives 0.218 states/eV/atom.



Below is La2Ge4IrRh3 at its PBEsol-relaxed geometry, with properties calculated at the SCAN level.

Cell and atoms, written as POSCAR:
```
La2Ge4IrRh3
1.0
4.148 0.000 0.000
0.000 4.148 0.000
0.000 0.000 10.553
La Ge Ir Rh
2 4 1 3
Direct
0.500 0.000 0.751
0.000 0.500 0.249
0.000 0.500 0.875
0.500 0.000 0.377
0.500 0.000 0.125
0.000 0.500 0.623
0.500 0.500 0.000
0.000 0.000 0.500
0.000 0.000 0.000
0.500 0.500 0.500
```

Results
The value obtained for the formation energy from the elements is -1.036 eV/atom. The calculation puts the raw total energy at -34.534 eV/atom. For the density of states at the Fermi level, the calculation gives 0.387 states/eV/atom.



Below is BaNa2ZrSb at its PBEsol-relaxed geometry, with properties calculated at the SCAN level.

Cell and atoms, written as POSCAR:
```
BaNa2ZrSb
1.0
5.696 0.000 0.000
0.000 5.696 0.000
0.000 0.000 6.211
Sb Ba Zr Na
1 1 1 2
Direct
0.500 0.500 0.500
0.000 0.000 0.500
0.000 0.000 0.000
0.000 0.500 0.000
0.500 0.000 0.000
```

Results
The calculation puts the raw total energy at -22.319 eV/atom. The calculation puts the formation energy (no corrections) at 0.87 eV/atom. For the density of states at the Fermi level, the calculation gives 0.892 states/eV/atom.



Below is Ho2Sn3Pb3S12 at its PBEsol-relaxed geometry, with properties calculated at the SCAN level.

Cell and atoms, written as POSCAR:
```
Ho2Sn3Pb3S12
1.0
-1.490 -1.424 -3.271
9.820 -5.454 -2.097
-6.737 -15.986 10.029
Ho Sn Pb S
4 6 6 24
Direct
0.000 0.133 0.893
0.000 0.633 0.107
0.000 0.449 0.588
0.000 0.949 0.412
0.500 0.324 0.090
0.500 0.308 0.750
0.500 0.797 0.572
0.500 0.808 0.250
0.500 0.297 0.428
0.500 0.824 0.910
0.000 0.714 0.738
0.000 0.010 0.084
0.000 0.510 0.916
0.000 0.214 0.262
0.000 0.076 0.620
0.000 0.576 0.380
0.500 0.107 0.362
0.500 0.903 0.677
0.500 0.607 0.638
0.500 0.784 0.375
0.000 0.408 0.161
0.500 0.301 0.876
0.000 0.743 0.983
0.500 0.141 0.160
0.000 0.243 0.017
0.000 0.245 0.498
0.500 0.801 0.124
0.500 0.284 0.625
0.500 0.022 0.968
0.500 0.990 0.509
0.000 0.154 0.757
0.500 0.490 0.491
0.500 0.403 0.323
0.000 0.908 0.839
0.000 0.454 0.736
0.500 0.641 0.840
0.000 0.654 0.243
0.000 0.745 0.502
0.500 0.522 0.032
0.000 0.954 0.264
```

Results
The calculation puts the raw total energy at -28.373 eV/atom. The calculation puts the formation energy (no corrections) at -0.94 eV/atom.



Below is YSbRu2 at its PBEsol-relaxed geometry, with properties calculated at the SCAN level.

Cell and atoms, written as POSCAR:
```
YSbRu2
1.0
3.906 0.000 0.000
0.000 3.906 0.000
-1.953 -1.953 4.585
Ru Sb Y
2 1 1
Direct
0.000 0.000 0.000
0.750 0.250 0.500
0.500 0.500 0.000
0.250 0.750 0.500
```

Results
The calculation puts the raw total energy at -33.929 eV/atom. The calculation puts the formation energy (no corrections) at -0.24 eV/atom. For the density of states at the Fermi level, the calculation gives 0.462 states/eV/atom.



Below is RbHg2Bi2 at its PBEsol-relaxed geometry, with properties calculated at the SCAN level.

Cell and atoms, written as POSCAR:
```
RbHg2Bi2
1.0
-0.288 5.410 1.171
-4.817 0.333 -2.722
-0.161 -4.024 5.436
Bi Rb Hg
2 1 2
Direct
0.362 0.362 0.725
0.638 0.638 0.275
0.000 0.000 0.000
0.250 0.750 0.500
0.750 0.250 0.500
```

Results
The value obtained for the formation energy from the elements is -0.232 eV/atom. The calculation puts the raw total energy at -63.078 eV/atom. For the density of states at the Fermi level, the calculation gives 0.390 states/eV/atom.



Below is AsPtRh at its PBEsol-relaxed geometry, with properties calculated at the SCAN level.

Cell and atoms, written as POSCAR:
```
AsPtRh
1.0
-1.305 3.802 0.623
-3.763 1.067 -1.117
-2.828 0.742 2.829
As Rh Pt
1 1 1
Direct
0.250 0.250 0.250
0.500 0.500 0.500
0.000 0.000 0.000
```

Results
The value obtained for the formation energy from the elements is -0.441 eV/atom. The calculation puts the raw total energy at -41.826 eV/atom. For the density of states at the Fermi level, the calculation gives 0.498 states/eV/atom.



Below is MnVAgO4 at its PBEsol-relaxed geometry, with properties calculated at the SCAN level.

Cell and atoms, written as POSCAR:
```
MnVAgO4
1.0
5.304 0.000 0.000
0.000 6.672 0.000
0.000 0.000 9.466
Mn V Ag O
4 4 4 16
Direct
0.000 0.500 0.000
0.500 0.000 0.500
0.500 0.500 0.500
0.000 0.000 0.000
0.020 0.250 0.322
0.520 0.750 0.178
0.980 0.750 0.678
0.480 0.250 0.822
0.003 0.250 0.653
0.503 0.750 0.847
0.997 0.750 0.347
0.497 0.250 0.153
0.063 0.250 0.135
0.563 0.750 0.365
0.937 0.750 0.865
0.437 0.250 0.635
0.708 0.250 0.384
0.208 0.750 0.116
0.292 0.750 0.616
0.792 0.250 0.884
0.183 0.452 0.387
0.683 0.548 0.113
0.817 0.952 0.613
0.317 0.048 0.887
0.817 0.548 0.613
0.317 0.452 0.887
0.183 0.048 0.387
0.683 0.952 0.113
```

Results
The calculation puts the raw total energy at -15.118 eV/atom. The calculation puts the formation energy (no corrections) at -1.97 eV/atom.



Below is HfCoPb2 at its PBEsol-relaxed geometry, with properties calculated at the SCAN level.

Cell and atoms, written as POSCAR:
```
HfCoPb2
1.0
-0.742 -4.033 -2.578
3.771 -2.470 -1.772
1.161 -4.316 1.867
Pb Co Hf
2 1 1
Direct
0.250 0.250 0.250
0.750 0.750 0.750
0.000 0.000 0.000
0.500 0.500 0.500
```

Results
The value obtained for the formation energy from the elements is 0.510 eV/atom. The calculation puts the raw total energy at -57.375 eV/atom. For the density of states at the Fermi level, the calculation gives 0.708 states/eV/atom.